(1)
Density functional theory data (GGA-PBE) for a relaxed Nd5Sm2Y4 crystal.

Computed properties:
- Offset from the most stable computed form: 182.0 meV/atom
- Calculated formation energy: 0.197 eV/atom

```
Nd5Sm2Y4
1.0
-1.782 4.618 11.854
1.782 -4.618 11.854
1.782 4.618 -11.854
Nd Sm Y
5 2 4
Direct
0.000 0.000 0.000
0.053 0.354 0.699
0.344 0.646 0.699
0.656 0.354 0.301
0.947 0.646 0.301
0.268 0.768 0.500
0.732 0.232 0.500
0.313 0.500 0.813
0.402 0.902 0.500
0.598 0.098 0.500
0.687 0.500 0.187
```

(2)
Density functional theory data (GGA-PBE) for a relaxed BaCaTe2 crystal.

Computed properties:
- Raw formation energy: -1.568 eV per atom
- Offset from the most stable computed form: 128.0 meV/atom

```
BaCaTe2
1.0
9.598 0.000 0.000
0.000 6.773 0.000
0.000 0.000 11.631
Ba Ca Te
4 4 8
Direct
0.086 0.250 0.121
0.414 0.750 0.621
0.586 0.250 0.379
0.914 0.750 0.879
0.072 0.250 0.626
0.428 0.750 0.126
0.572 0.250 0.874
0.928 0.750 0.374
0.062 0.750 0.614
0.098 0.750 0.141
0.402 0.250 0.641
0.438 0.250 0.114
0.562 0.750 0.886
0.598 0.750 0.359
0.902 0.250 0.859
0.938 0.250 0.386
```

(3)
Density functional theory data (GGA-PBE) for a relaxed K2LaSe crystal.

Computed properties:
- Raw formation energy: -0.224 eV per atom

```
K2LaSe
1.0
3.936 0.000 0.000
0.000 3.936 0.000
0.000 0.000 10.645
K La Se
2 1 1
Direct
0.000 0.000 0.158
0.000 0.000 0.842
0.500 0.500 0.500
0.500 0.500 0.000
```

(4)
Density functional theory data (GGA-PBE) for a relaxed La4PrSm6 crystal.

Computed properties:
- Offset from the most stable computed form: 116.6 meV/atom
- Calculated formation energy: 0.280 eV/atom

```
La4PrSm6
1.0
-3.465 3.465 8.381
3.465 -3.465 8.381
3.465 3.465 -8.381
La Pr Sm
4 1 6
Direct
0.131 0.131 0.619
0.488 0.869 0.000
0.512 0.512 0.381
0.869 0.488 0.000
0.500 0.500 0.000
0.000 0.500 0.500
0.056 0.714 0.000
0.286 0.286 0.342
0.500 0.000 0.500
0.714 0.056 0.000
0.944 0.944 0.658
```

(5)
Density functional theory data (GGA-PBE) for a relaxed Dy2HoIr3 crystal.

Computed properties:
- Offset from the most stable computed form: 364.0 meV/atom
- Calculated formation energy: -0.463 eV/atom

```
Dy2HoIr3
1.0
-2.345 2.804 4.946
2.345 -2.804 4.946
2.345 2.804 -4.946
Dy Ho Ir
2 1 3
Direct
0.167 0.167 0.000
0.833 0.833 0.000
0.500 0.500 0.000
0.000 0.500 0.500
0.337 0.837 0.500
0.663 0.163 0.500
```

(6)
Density functional theory data (GGA-PBE) for a relaxed YErCoOs crystal.

Computed properties:
- Calculated formation energy: -0.130 eV/atom

```
YErCoOs
1.0
0.000 3.369 3.369
3.369 0.000 3.369
3.369 3.369 0.000
Y Er Co Os
1 1 1 1
Direct
0.000 0.000 0.000
0.500 0.500 0.500
0.750 0.750 0.750
0.250 0.250 0.250
```

(7)
Density functional theory data (GGA-PBE) for a relaxed Ag4Te2Br crystal.

Computed properties:
- Raw formation energy: -0.037 eV per atom
- Offset from the most stable computed form: 0.0 meV/atom

```
Ag4Te2Br
1.0
4.101 -5.288 0.000
4.101 5.288 0.000
-4.076 0.000 4.118
Ag Te Br
4 2 1
Direct
0.000 0.000 0.000
0.180 0.750 0.310
0.628 0.628 0.004
0.750 0.180 0.310
0.211 0.710 0.801
0.710 0.211 0.801
0.479 0.479 0.336
```

(8)
Density functional theory data (GGA-PBE) for a relaxed Li3Dy2TmS6 crystal.

Computed properties:
- Raw formation energy: -1.854 eV per atom

```
Li3Dy2TmS6
1.0
3.373 -5.844 0.000
3.373 5.844 0.000
-2.246 0.000 6.168
Li Dy Tm S
3 2 1 6
Direct
0.000 0.000 0.000
0.335 0.665 0.000
0.665 0.335 0.000
0.167 0.833 0.500
0.833 0.167 0.500
0.500 0.500 0.500
0.087 0.417 0.250
0.253 0.253 0.749
0.417 0.087 0.250
0.583 0.913 0.750
0.747 0.747 0.251
0.913 0.583 0.750
```

(9)
Density functional theory data (GGA-PBE) for a relaxed FeNi7Ge2Sb2 crystal.

Computed properties:
- Raw formation energy: -0.047 eV per atom

```
FeNi7Ge2Sb2
1.0
2.557 -2.582 0.000
2.557 2.582 0.000
-1.501 0.000 13.627
Fe Ni Ge Sb
1 7 2 2
Direct
0.000 0.000 0.000
0.037 0.537 0.126
0.366 0.366 0.584
0.463 0.963 0.874
0.500 0.500 0.000
0.537 0.037 0.126
0.634 0.634 0.416
0.963 0.463 0.874
0.429 0.429 0.760
0.571 0.571 0.240
0.136 0.136 0.402
0.864 0.864 0.598
```

(10)
Density functional theory data (GGA-PBE) for a relaxed Zr2InCu crystal.

Computed properties:
- Calculated formation energy: 0.013 eV/atom

```
Zr2InCu
1.0
1.658 0.957 9.003
-1.658 0.957 9.003
0.000 -1.914 9.003
Zr In Cu
2 1 1
Direct
0.000 0.000 0.000
0.244 0.244 0.244
0.482 0.482 0.482
0.742 0.742 0.742
```

(11)
Density functional theory data (GGA-PBE) for a relaxed LaCrRh2 crystal.

Computed properties:
- Offset from the most stable computed form: 241.4 meV/atom
- Calculated formation energy: 0.094 eV/atom

```
LaCrRh2
1.0
0.000 3.313 3.313
3.313 0.000 3.313
3.313 3.313 0.000
La Cr Rh
1 1 2
Direct
0.000 0.000 0.000
0.250 0.250 0.250
0.500 0.500 0.500
0.750 0.750 0.750
```

(12)
Density functional theory data (GGA-PBE) for a relaxed CaHoCd crystal.

Computed properties:
- Offset from the most stable computed form: 0.0 meV/atom
- Calculated formation energy: -0.165 eV/atom

```
CaHoCd
1.0
-1.846 1.846 6.698
1.846 -1.846 6.698
1.846 1.846 -6.698
Ca Ho Cd
1 1 1
Direct
0.000 0.000 0.000
0.291 0.291 0.000
0.655 0.655 0.000
```

(13)
Density functional theory data (GGA-PBE) for a relaxed LiCa2P4 crystal.

Computed properties:
- Calculated formation energy: -0.140 eV/atom

```
LiCa2P4
1.0
-2.250 2.250 7.074
2.250 -2.250 7.074
2.250 2.250 -7.074
Li Ca P
1 2 4
Direct
0.000 0.000 0.000
0.362 0.362 0.000
0.638 0.638 0.000
0.000 0.500 0.500
0.159 0.159 0.000
0.500 0.000 0.500
0.841 0.841 0.000
```

(14)
Density functional theory data (GGA-PBE) for a relaxed MgAgPb2 crystal.

Computed properties:
- Calculated formation energy: 0.093 eV/atom

```
MgAgPb2
1.0
1.902 -2.846 0.000
1.902 2.846 0.000
0.000 0.000 9.650
Mg Ag Pb
1 1 2
Direct
0.000 0.000 0.000
0.000 0.000 0.500
0.500 0.500 0.259
0.500 0.500 0.741
```

(15)
Density functional theory data (GGA-PBE) for a relaxed TbSm4Sb5 crystal.

Computed properties:
- Raw formation energy: -1.172 eV per atom

```
TbSm4Sb5
1.0
-2.229 2.229 15.752
2.229 -2.229 15.752
2.229 2.229 -15.752
Tb Sm Sb
1 4 5
Direct
0.000 0.000 0.000
0.200 0.200 0.000
0.400 0.400 0.000
0.600 0.600 0.000
0.800 0.800 0.000
0.099 0.099 0.000
0.300 0.300 0.000
0.500 0.500 0.000
0.700 0.700 0.000
0.901 0.901 0.000
```

(16)
Density functional theory data (GGA-PBE) for a relaxed Ta2InRe crystal.

Computed properties:
- Calculated formation energy: 0.087 eV/atom

```
Ta2InRe
1.0
5.226 -1.649 0.000
5.226 1.649 0.000
-2.052 0.000 4.167
Ta In Re
2 1 1
Direct
0.000 0.000 0.000
0.248 0.248 0.748
0.770 0.770 0.271
0.524 0.524 0.524
```

(17)
Density functional theory data (GGA-PBE) for a relaxed SiHgCl crystal.

Computed properties:
- Raw formation energy: 0.260 eV per atom
- Offset from the most stable computed form: 416.5 meV/atom

```
SiHgCl
1.0
-1.697 1.697 6.015
1.697 -1.697 6.015
1.697 1.697 -6.015
Si Hg Cl
1 1 1
Direct
0.000 0.000 0.000
0.640 0.640 0.000
0.370 0.370 0.000
```

(18)
Density functional theory data (GGA-PBE) for a relaxed AcSnPd6 crystal.

Computed properties:
- Offset from the most stable computed form: 299.2 meV/atom
- Calculated formation energy: -0.294 eV/atom

```
AcSnPd6
1.0
2.807 1.620 6.830
-2.807 1.620 6.830
0.000 -3.241 6.830
Ac Sn Pd
1 1 6
Direct
0.000 0.000 0.000
0.500 0.500 0.500
0.058 0.572 0.572
0.428 0.428 0.942
0.428 0.942 0.428
0.572 0.058 0.572
0.572 0.572 0.058
0.942 0.428 0.428
```

(19)
Density functional theory data (GGA-PBE) for a relaxed Ta2BiPbCl crystal.

Computed properties:
- Raw formation energy: 1.053 eV per atom

```
Ta2BiPbCl
1.0
4.633 0.000 0.000
0.000 4.633 0.000
0.000 0.000 5.736
Ta Bi Pb Cl
2 1 1 1
Direct
0.000 0.500 0.000
0.500 0.000 0.000
0.000 0.000 0.500
0.500 0.500 0.500
0.500 0.500 0.000
```

(20)
Density functional theory data (GGA-PBE) for a relaxed Ce2ZnTe crystal.

Computed properties:
- Raw formation energy: -0.600 eV per atom
- Offset from the most stable computed form: 21.1 meV/atom

```
Ce2ZnTe
1.0
2.157 1.246 7.453
-2.157 1.246 7.453
0.000 -2.491 7.453
Ce Zn Te
2 1 1
Direct
0.247 0.247 0.247
0.753 0.753 0.753
0.500 0.500 0.500
0.000 0.000 0.000
```

The D(E_F) results, record by record, are as follows: 17.328, 0.000, 4.536, 16.402, 1.803, 4.116, 1.694, 0.000, 6.862, 1.778, 8.130, 3.215, 4.248, 1.343, 1.168, 1.389, 1.513, 3.230, 4.212, 16.284 states/eV/f.u..